No. 1
NpBe2Tl2O6 | PBE | optimized geometry

CIF file:
```
data_NpBe2Tl2O6
_symmetry_space_group_name_H-M 'P 1'
_symmetry_Int_Tables_number 1
_cell_length_a 5.590
_cell_length_b 5.590
_cell_length_c 7.091
_cell_angle_alpha 66.79
_cell_angle_beta 66.79
_cell_angle_gamma 60.00
loop_
_symmetry_equiv_pos_as_xyz
'x,y,z'
loop_
_atom_site_label
_atom_site_fract_x
_atom_site_fract_y
_atom_site_fract_z
Be1 0.603 0.603 0.191
Be2 0.397 0.397 0.809
Tl1 0.788 0.788 0.636
Tl2 0.212 0.212 0.364
O1 0.762 0.282 0.195
O2 0.238 0.718 0.805
O3 0.238 0.238 0.805
O4 0.718 0.238 0.805
O5 0.282 0.762 0.195
O6 0.762 0.762 0.195
Np1 0.000 0.000 0.000
```

Values from the calculation:
Symmetry ... R-3m (166)

No. 2
NpBeTl2O6 | PBE | optimized geometry

CIF file:
```
data_NpBeTl2O6
_symmetry_space_group_name_H-M 'P 1'
_symmetry_Int_Tables_number 1
_cell_length_a 5.520
_cell_length_b 5.521
_cell_length_c 6.551
_cell_angle_alpha 118.08
_cell_angle_beta 118.08
_cell_angle_gamma 83.22
loop_
_symmetry_equiv_pos_as_xyz
'x,y,z'
loop_
_atom_site_label
_atom_site_fract_x
_atom_site_fract_y
_atom_site_fract_z
Np1 0.000 0.500 0.000
Be1 0.500 0.000 0.000
Tl1 0.750 0.750 0.500
Tl2 0.250 0.250 0.500
O1 0.768 0.269 0.000
O2 0.232 0.731 0.000
O3 0.804 0.304 0.608
O4 0.196 0.696 0.392
O5 0.296 0.204 0.000
O6 0.704 0.796 0.000
```

Values from the calculation:
Symmetry ... Fmmm (69)

No. 3
NpBeTlO6 | PBE | optimized geometry

CIF file:
```
data_NpBeTlO6
_symmetry_space_group_name_H-M 'P 1'
_symmetry_Int_Tables_number 1
_cell_length_a 5.124
_cell_length_b 5.124
_cell_length_c 9.711
_cell_angle_alpha 90.00
_cell_angle_beta 90.00
_cell_angle_gamma 120.00
loop_
_symmetry_equiv_pos_as_xyz
'x,y,z'
loop_
_atom_site_label
_atom_site_fract_x
_atom_site_fract_y
_atom_site_fract_z
O1 0.350 0.371 0.859
O2 0.980 0.350 0.141
O3 0.629 0.980 0.859
O4 0.020 0.371 0.641
O5 0.629 0.650 0.641
O6 0.371 0.020 0.141
O7 0.020 0.650 0.859
O8 0.650 0.020 0.359
O9 0.980 0.629 0.359
O10 0.350 0.980 0.641
O11 0.371 0.350 0.359
O12 0.650 0.629 0.141
Np1 0.667 0.333 0.750
Np2 0.333 0.667 0.250
Be1 0.333 0.667 0.750
Be2 0.667 0.333 0.250
Tl1 0.000 0.000 0.500
Tl2 0.000 0.000 0.000
```

Values from the calculation:
Symmetry ... P-31c (163)

Number 1: E_form (uncorrected) -2122 meV per atom, calculated total energy -78.213 eV/f.u., spin magnetization 1.00 μB/cell. Number 2: E_form (uncorrected) -1690 meV per atom, calculated total energy -68.045 eV/f.u., spin magnetization 0.00 μB/cell. Number 3: E_form (uncorrected) -1832 meV per atom, calculated total energy -65.275 eV/f.u., spin magnetization 0.00 μB/cell.